## Sc3Be (PBE)

Data for a geometry-optimized Sc3Be structure.

The formation energy from the elements comes out at 135 meV/atom.

The structure belongs to space group Pm-3m (No. 221); the cell edges are 4.312, 4.312 and 4.312 Å and the angles 90.00°, 90.00° and 90.00°. The asymmetric unit holds Sc at (0.000, 0.000, 0.500) and Be at (0.500, 0.500, 0.500).


## KCd2BiRu (PBE)

Data for a geometry-optimized KCd2BiRu structure.

The formation energy from the elements comes out at 44 meV/atom.

The structure belongs to space group P4/mmm (No. 123); the cell edges are 5.380, 5.380 and 5.139 Å and the angles 90.00°, 90.00° and 90.00°. The asymmetric unit holds K at (0.000, 0.000, 0.000), Cd at (0.000, 0.500, 0.500), Bi at (0.500, 0.500, 0.000) and Ru at (0.500, 0.500, 0.500).


## CoRe2As (PBE)

Data for a geometry-optimized CoRe2As structure.

The formation energy from the elements comes out at 351 meV/atom.

The structure belongs to space group R-3m (No. 166, hexagonal axes); the cell edges are 2.8168, 2.8168 and 24.5905 Å and the angles 90.00°, 90.00° and 120.00°. The asymmetric unit holds Co at (0.0000, 0.0000, 0.0000), Re at (0.0000, 0.0000, 0.2510) and As at (0.0000, 0.0000, 0.5000).


## YCuBr2 (PBE)

Data for a geometry-optimized YCuBr2 structure.

The structure belongs to space group C2/m (No. 12); the cell edges are 6.808, 9.114 and 3.776 Å and the angles 90.00°, 121.86° and 90.00°. The asymmetric unit holds Y at (0.000, 0.000, 0.000), Cu at (0.000, 0.500, 0.000) and Br at (0.250, 0.250, 0.000).


## Ni2Ir3Pt2 (PBE)

Data for a geometry-optimized Ni2Ir3Pt2 structure.

The formation energy from the elements comes out at 55 meV/atom.

The structure belongs to space group Cmmm (No. 65); the cell edges are 3.766, 19.643 and 2.705 Å and the angles 90.00°, 90.00° and 90.00°. The asymmetric unit holds Ni at (0.000, 0.136, 0.000), Ir at (0.000, 0.000, 0.000), Ir at (0.000, 0.431, 0.500) and Pt at (0.000, 0.297, 0.500).


## CsKHgBr (PBE)

Data for a geometry-optimized CsKHgBr structure.

The structure belongs to space group F-43m (No. 216); the cell edges are 8.856, 8.856 and 8.856 Å and the angles 90.00°, 90.00° and 90.00°. The asymmetric unit holds Cs at (0.000, 0.000, 0.000), K at (0.000, 0.000, 0.500), Hg at (0.250, 0.250, 0.250) and Br at (0.250, 0.250, 0.750).


## ZrCoRe3 (PBE)

Data for a geometry-optimized ZrCoRe3 structure.

The formation energy from the elements comes out at 1094 meV/atom.

The structure belongs to space group Pm-3m (No. 221); the cell edges are 4.451, 4.451 and 4.451 Å and the angles 90.00°, 90.00° and 90.00°. The asymmetric unit holds Zr at (0.000, 0.000, 0.000), Co at (0.500, 0.500, 0.500) and Re at (0.000, 0.500, 0.500).


## Cs2AsBrCl5 (PBE)

Data for a geometry-optimized Cs2AsBrCl5 structure.

The structure belongs to space group I4mm (No. 107); the cell edges are 7.632, 7.632 and 10.461 Å and the angles 90.00°, 90.00° and 90.00°. The asymmetric unit holds Cs at (0.000, 0.500, 0.000), As at (0.000, 0.000, 0.250), Br at (0.000, 0.000, 0.499), Cl at (0.000, 0.000, 0.023) and Cl at (0.224, 0.224, 0.250).


## LaYTmAl (PBE)

Data for a geometry-optimized LaYTmAl structure.

The formation energy from the elements comes out at -197 meV/atom.

The structure belongs to space group P4mm (No. 99); the cell edges are 3.541, 3.541 and 9.158 Å and the angles 90.00°, 90.00° and 90.00°. The asymmetric unit holds La at (0.000, 0.000, 0.000), Y at (0.500, 0.500, 0.698), Tm at (0.500, 0.500, 0.290) and Al at (0.000, 0.000, 0.491).


## AcSmCd (PBE)

Data for a geometry-optimized AcSmCd structure.

The formation energy from the elements comes out at -178 meV/atom.

The structure belongs to space group I4mm (No. 107); the cell edges are 3.916, 3.916 and 13.216 Å and the angles 90.00°, 90.00° and 90.00°. The asymmetric unit holds Ac at (0.000, 0.000, 0.000), Sm at (0.000, 0.000, 0.698) and Cd at (0.000, 0.000, 0.329).


## ScIrRh2 (PBE)

Data for a geometry-optimized ScIrRh2 structure.

The formation energy from the elements comes out at -533 meV/atom.

The structure belongs to space group Cmmm (No. 65); the cell edges are 5.614, 7.564 and 2.865 Å and the angles 90.00°, 90.00° and 90.00°. The asymmetric unit holds Sc at (0.000, 0.000, 0.000), Ir at (0.000, 0.500, 0.000) and Rh at (0.250, 0.250, 0.500).


## Tm2PN4 (PBE)

Data for a geometry-optimized Tm2PN4 structure.

The structure belongs to space group Fddd (No. 70, origin choice 2); the cell edges are 6.157, 9.809 and 12.054 Å and the angles 90.00°, 90.00° and 90.00°. The asymmetric unit holds Tm at (0.125, 0.313, 0.125), P at (0.125, 0.125, 0.625) and N at (0.036, 0.268, 0.942).


## Nb3FeS (PBE)

Data for a geometry-optimized Nb3FeS structure.

The structure belongs to space group Pm-3m (No. 221); the cell edges are 4.605, 4.605 and 4.605 Å and the angles 90.00°, 90.00° and 90.00°. The asymmetric unit holds Nb at (0.000, 0.000, 0.500), Fe at (0.000, 0.000, 0.000) and S at (0.500, 0.500, 0.500).


One value per record, in order, for Fermi-level density of states: 4.287 2.582 3.343 2.509 11.168 4.570 9.031 4.726 3.932 4.312 3.791 4.653 7.464 states/eV/f.u..
One value per record, in order, for energy: -22.181 -15.863 -105.743 -31.732 -99.691 -28.185 -47.526 -56.361 -20.393 -20.555 -64.052 -444.137 -38.828 eV per cell.